A plane-wave DFT calculation with GGA-PBE was carried out for a geometry-optimized CePrNdTh structure.

```
CePrNdTh
1.0
8.1037 0.0000 0.0000
0.0000 8.1037 0.0000
0.0000 0.0000 8.1037
Ce Pr Nd Th
4 4 4 4
Direct
0.0000 0.0000 0.0000
0.0000 0.5000 0.5000
0.5000 0.0000 0.5000
0.5000 0.5000 0.0000
0.2500 0.2500 0.7500
0.2500 0.7500 0.2500
0.7500 0.2500 0.2500
0.7500 0.7500 0.7500
0.0000 0.0000 0.5000
0.0000 0.5000 0.0000
0.5000 0.0000 0.0000
0.5000 0.5000 0.5000
0.2500 0.2500 0.2500
0.2500 0.7500 0.7500
0.7500 0.2500 0.7500
0.7500 0.7500 0.2500
```

Output
Its energy of formation is 0.241 eV per atom.

***

A plane-wave DFT calculation with GGA-PBE was carried out for a geometry-optimized Nd2SmTm5Sc structure.

```
Nd2SmTm5Sc
1.0
2.7743 -9.8131 0.0000
2.7743 9.8131 0.0000
0.0000 0.0000 10.3979
Nd Sm Tm Sc
4 2 10 2
Direct
0.1121 0.8879 0.5000
0.1150 0.8850 0.9186
0.8850 0.1150 0.4186
0.8879 0.1121 0.0000
0.4129 0.5871 0.6429
0.5871 0.4129 0.1429
0.0173 0.9827 0.2057
0.2768 0.7232 0.5073
0.2979 0.7021 0.8893
0.3768 0.6232 0.2040
0.4818 0.5182 0.9237
0.5182 0.4818 0.4237
0.6232 0.3768 0.7040
0.7021 0.2979 0.3893
0.7232 0.2768 0.0073
0.9827 0.0173 0.7057
0.1974 0.8026 0.1994
0.8026 0.1974 0.6994
```

Output
Its energy of formation is 0.159 eV per atom.

***

A plane-wave DFT calculation with GGA-PBE was carried out for a geometry-optimized Ba2CdBr structure.

```
Ba2CdBr
1.0
13.4616 0.0000 0.0000
0.0000 4.2059 0.0000
-0.0065 0.0000 5.6891
Ba Cd Br
4 2 2
Direct
0.0000 0.0000 0.0000
0.2481 0.5000 0.4996
0.5000 0.5000 0.0000
0.7481 0.0000 0.4996
0.2672 0.0000 0.9994
0.7672 0.5000 0.9994
0.4976 0.0000 0.5000
0.9976 0.5000 0.5000
```

Output
The formation energy without anion corrections comes out at -848 meV per atom.

***

A plane-wave DFT calculation with GGA-PBE was carried out for a geometry-optimized TaI2Br structure.

```
TaI2Br
1.0
10.3310 0.0000 0.0000
0.0000 10.3310 0.0000
0.0000 0.0000 5.1868
Ta I Br
4 8 4
Direct
0.0000 0.0000 0.0000
0.0000 0.5000 0.2500
0.5000 0.0000 0.7500
0.5000 0.5000 0.5000
0.1034 0.7500 0.1250
0.2500 0.1034 0.8750
0.2500 0.3966 0.3750
0.3966 0.7500 0.6250
0.6034 0.2500 0.6250
0.7500 0.6034 0.3750
0.7500 0.8966 0.8750
0.8966 0.2500 0.1250
0.0000 0.0000 0.5000
0.0000 0.5000 0.7500
0.5000 0.0000 0.2500
0.5000 0.5000 0.0000
```

Output
The formation energy without anion corrections comes out at -56 meV per atom.

***

A plane-wave DFT calculation with GGA-PBE was carried out for a geometry-optimized PmMnPt4 structure.

```
PmMnPt4
1.0
0.0000 3.8079 3.8079
3.8079 0.0000 3.8079
3.8079 3.8079 0.0000
Pm Mn Pt
1 1 4
Direct
0.0000 0.0000 0.0000
0.7500 0.7500 0.7500
0.3757 0.3757 0.3757
0.3757 0.3757 0.8730
0.3757 0.8730 0.3757
0.8730 0.3757 0.3757
```

Output
Its energy of formation is -0.668 eV per atom.

***

A plane-wave DFT calculation with GGA-PBE was carried out for a geometry-optimized Tb3Dy8Y4 structure.

```
Tb3Dy8Y4
1.0
6.6813 -6.3799 0.0000
6.6813 6.3799 0.0000
-3.4093 0.0000 5.8364
Tb Dy Y
3 8 4
Direct
0.0000 0.0000 0.0000
0.0000 0.5000 0.0000
0.5000 0.0000 0.0000
0.1413 0.8587 0.5000
0.2300 0.2300 0.9644
0.2309 0.2309 0.4889
0.2457 0.7543 0.0000
0.7543 0.2457 0.0000
0.7691 0.7691 0.5111
0.7700 0.7700 0.0356
0.8587 0.1413 0.5000
0.0000 0.5000 0.5000
0.5000 0.0000 0.5000
0.5000 0.5000 0.0000
0.5000 0.5000 0.5000
```

Output
Its energy of formation is 0.396 eV per atom.

***

A plane-wave DFT calculation with GGA-PBE was carried out for a geometry-optimized K4Na2As structure.

```
K4Na2As
1.0
6.4285 0.0000 0.0000
0.0000 6.4285 0.0000
0.0000 0.0000 19.6916
K Na As
8 4 2
Direct
0.0000 0.0000 0.1630
0.0000 0.0000 0.8370
0.0000 0.5000 0.0000
0.0000 0.5000 0.5000
0.5000 0.0000 0.0000
0.5000 0.0000 0.5000
0.5000 0.5000 0.3370
0.5000 0.5000 0.6630
0.0000 0.0000 0.3629
0.0000 0.0000 0.6371
0.5000 0.5000 0.1371
0.5000 0.5000 0.8629
0.0000 0.0000 0.0000
0.5000 0.5000 0.5000
```

Output
Its energy of formation is -0.033 eV per atom.

***

A plane-wave DFT calculation with GGA-PBE was carried out for a geometry-optimized AcLa6NdHo2 structure.

```
AcLa6NdHo2
1.0
4.7484 -7.7810 0.0000
4.7484 7.7810 0.0000
-1.3195 0.0000 9.9476
Ac La Nd Ho
2 12 2 4
Direct
0.0276 0.9724 0.7500
0.9724 0.0276 0.2500
0.0097 0.5532 0.6840
0.1084 0.7513 0.0523
0.2487 0.8916 0.4477
0.2970 0.5093 0.8779
0.4468 0.9903 0.8160
0.4907 0.7030 0.6221
0.5093 0.2970 0.3779
0.5532 0.0097 0.1840
0.7030 0.4907 0.1221
0.7513 0.1084 0.5523
0.8916 0.2487 0.9477
0.9903 0.4468 0.3160
0.4080 0.5920 0.2500
0.5920 0.4080 0.7500
0.1999 0.3007 0.5466
0.3007 0.1999 0.0466
0.6993 0.8001 0.9534
0.8001 0.6993 0.4534
```

Output
Its energy of formation is 0.103 eV per atom.

***

Number 1: N(E_F) 14.26 states/eV/f.u., E_tot -87.75 eV for the cell shown. Number 2: N(E_F) 11.70 states/eV/f.u., E_tot -83.02 eV for the cell shown. Number 3: N(E_F) 4.13 states/eV/f.u., E_tot -19.65 eV for the cell shown. Number 4: N(E_F) 2.65 states/eV/f.u., E_tot -67.40 eV for the cell shown. Number 5: N(E_F) 6.69 states/eV/f.u., E_tot -42.09 eV for the cell shown. Number 6: N(E_F) 29.90 states/eV/f.u., E_tot -70.63 eV for the cell shown. Number 7: N(E_F) 7.99 states/eV/f.u., E_tot -23.82 eV for the cell shown. Number 8: N(E_F) 15.13 states/eV/f.u., E_tot -93.13 eV for the cell shown.